[1]
Here is a geometry-optimized Li2Sn2Hg structure from Alexandria via LeMat-Bulk. Energies are from PBE.

a b c (Å): 6.5240 11.8645 6.1453
angles (deg): 90.00 90.00 90.00
Space group Ibam (No. 72)
Symmetry-distinct sites (fractional):
Li: 0.2167 0.1653 0.0000 x8
Sn: 0.1448 0.4029 0.0000 x8
Hg: 0.0000 0.0000 0.2500 x4

Properties
Formation energy = -0.147 eV per atom
DFT total energy = -2.5743 eV/atom
M_tot = 0.00 μB/f.u.
Volume = 23.783 Å³ per atom

=====

[2]
Here is a geometry-optimized Hf5ZnRe4 structure from Alexandria via LeMat-Bulk. Energies are from PBE.

a b c (Å): 3.3001 3.3001 16.3847
angles (deg): 90.00 90.00 90.00
Space group P4/mmm (No. 123)
Symmetry-distinct sites (fractional):
Hf: 0.0000 0.0000 0.0000 x1
Hf: 0.0000 0.0000 0.1992 x2
Hf: 0.0000 0.0000 0.3938 x2
Zn: 0.5000 0.5000 0.5000 x1
Re: 0.5000 0.5000 0.0995 x2
Re: 0.5000 0.5000 0.3017 x2

Properties
Formation energy = -0.329 eV per atom
DFT total energy = -10.4128 eV/atom
M_tot = 0.00 μB/f.u.
Volume = 17.844 Å³ per atom

=====

[3]
Here is a geometry-optimized LiAl3B structure from Alexandria via LeMat-Bulk. Energies are from PBE.

a b c (Å): 4.2497 4.2497 4.2497
angles (deg): 90.00 90.00 90.00
Space group Pm-3m (No. 221)
Symmetry-distinct sites (fractional):
Li: 0.0000 0.0000 0.0000 x1
Al: 0.0000 0.5000 0.5000 x3
B: 0.5000 0.5000 0.5000 x1

Properties
Formation energy = 0.279 eV per atom
DFT total energy = -3.6848 eV/atom
M_tot = 0.00 μB/f.u.
Volume = 15.350 Å³ per atom

=====

[4]
Here is a geometry-optimized NdCoC structure from Alexandria via LeMat-Bulk. Energies are from PBE.

a b c (Å): 5.8255 7.6064 4.7533
angles (deg): 90.00 90.00 90.00
Space group Imma (No. 74)
Symmetry-distinct sites (fractional):
Nd: 0.0000 0.0000 0.0000 x4
Co: 0.0000 0.2500 0.4614 x4
C: 0.2500 0.2500 0.2500 x4

Properties
Formation energy = -0.016 eV per atom
DFT total energy = -7.0482 eV/atom
M_tot = 0.00 μB/f.u.
Volume = 17.552 Å³ per atom

=====

[5]
Here is a geometry-optimized PuPaAgAu structure from Alexandria via LeMat-Bulk. Energies are from PBE.

a b c (Å): 7.2552 7.2552 7.2552
angles (deg): 90.00 90.00 90.00
Space group F-43m (No. 216)
Symmetry-distinct sites (fractional):
Pu: 0.0000 0.0000 0.0000 x4
Pa: 0.0000 0.0000 0.5000 x4
Ag: 0.2500 0.2500 0.7500 x4
Au: 0.2500 0.2500 0.2500 x4

Properties
Formation energy = 0.012 eV per atom
DFT total energy = -7.4774 eV/atom
M_tot = 7.08 μB/f.u.
Volume = 23.869 Å³ per atom

=====

[6]
Here is a geometry-optimized CePm2Os structure from Alexandria via LeMat-Bulk. Energies are from PBE.

a b c (Å): 3.4750 3.4750 9.3324
angles (deg): 90.00 90.00 90.00
Space group P4/mmm (No. 123)
Symmetry-distinct sites (fractional):
Ce: 0.0000 0.0000 0.0000 x1
Pm: 0.5000 0.5000 0.3158 x2
Os: 0.0000 0.0000 0.5000 x1

Properties
Formation energy = 0.091 eV per atom
DFT total energy = -6.5753 eV/atom
M_tot = 1.79 μB/f.u.
Volume = 28.173 Å³ per atom

=====

Q: What is the formula in the third record?
A: LiAl3B

=====

Q: Number 2 is which compound?
A: Hf5ZnRe4

=====

Q: The lowest formation energy belongs to which entry?
A: Hf5ZnRe4